Mn5CuO12: relaxed, PBE+U.

Cell: 5.0613 5.0773 10.0459 Å, 90.11 90.21 60.10°
Sites, in units of the cell vectors:
Mn1 0.1667 0.6667 0.5000
Mn2 0.6680 0.6641 0.0000
Mn3 0.3320 0.3359 0.0000
Mn4 0.8333 0.3333 0.5000
Mn5 0.5000 0.0000 0.5000
Cu1 0.0000 0.0000 0.0000
O1 0.0020 0.6599 0.0973
O2 0.3381 0.6599 0.9027
O3 0.1662 0.3333 0.4046
O4 0.4996 0.6667 0.4046
O5 0.5004 0.3333 0.5954
O6 0.1672 0.0000 0.5954
O7 0.8338 0.6667 0.5954
O8 0.6619 0.3401 0.0973
O9 0.3282 0.0000 0.0933
O10 0.9980 0.3401 0.9027
O11 0.6718 0.0000 0.9067
O12 0.8328 0.0000 0.4046

The space group is No. 12. The total energy is -6.69 eV per atom. The calculation puts the calculated density at 3.93 g/cm3.